# 1
Material: Nd2AlGa6Au
Method: DFT, PBE
State: relaxed

Geometry as POSCAR:
```
Nd2AlGa6Au
1.0
3.229 1.864 12.169
-3.229 1.864 12.169
0.000 -3.729 12.169
Nd Al Ga Au
4 2 12 2
Direct
0.111 0.111 0.111 Nd
0.297 0.297 0.297 Nd
0.703 0.703 0.703 Nd
0.889 0.889 0.889 Nd
0.000 0.000 0.000 Al
0.500 0.500 0.500 Al
0.052 0.668 0.668 Ga
0.229 0.229 0.663 Ga
0.229 0.663 0.229 Ga
0.332 0.332 0.948 Ga
0.332 0.948 0.332 Ga
0.337 0.771 0.771 Ga
0.663 0.229 0.229 Ga
0.668 0.052 0.668 Ga
0.668 0.668 0.052 Ga
0.771 0.337 0.771 Ga
0.771 0.771 0.337 Ga
0.948 0.332 0.332 Ga
0.431 0.431 0.431 Au
0.569 0.569 0.569 Au
```

Output
total moment = 0.0 μB per formula unit
formation energy = -2.782 eV/f.u.
N(E_F) = 10.51 states/eV/cell



# 2
Material: Nd2Al3Ga4Au
Method: DFT, PBE
State: relaxed

Geometry as POSCAR:
```
Nd2Al3Ga4Au
1.0
4.331 0.000 0.000
0.000 4.331 0.000
0.000 0.000 10.768
Nd Al Ga Au
2 3 4 1
Direct
0.000 0.500 0.248 Nd
0.500 0.000 0.752 Nd
0.000 0.500 0.868 Al
0.500 0.000 0.132 Al
0.500 0.500 0.500 Al
0.000 0.000 0.000 Ga
0.000 0.500 0.639 Ga
0.500 0.000 0.361 Ga
0.500 0.500 0.000 Ga
0.000 0.000 0.500 Au
```

Output
total moment = 0.0 μB per formula unit
formation energy = -4.836 eV/f.u.
N(E_F) = 2.94 states/eV/cell



# 3
Material: NdAl2GaAu4
Method: DFT, PBE
State: relaxed

Geometry as POSCAR:
```
NdAl2GaAu4
1.0
2.199 1.269 9.418
-2.199 1.269 9.418
0.000 -2.539 9.418
Nd Al Ga Au
1 2 1 4
Direct
0.000 0.000 0.000 Nd
0.245 0.245 0.245 Al
0.755 0.755 0.755 Al
0.500 0.500 0.500 Ga
0.127 0.127 0.127 Au
0.397 0.397 0.397 Au
0.603 0.603 0.603 Au
0.873 0.873 0.873 Au
```

Output
total moment = 0.0 μB per formula unit
formation energy = -3.925 eV/f.u.
N(E_F) = 2.74 states/eV/cell



# 4
Material: Nd2AlGa4Au3
Method: DFT, PBE
State: relaxed

Geometry as POSCAR:
```
Nd2AlGa4Au3
1.0
4.310 0.000 0.000
0.000 4.310 0.000
0.000 0.000 11.053
Nd Al Ga Au
2 1 4 3
Direct
0.000 0.500 0.249 Nd
0.500 0.000 0.751 Nd
0.500 0.500 0.000 Al
0.000 0.000 0.500 Ga
0.000 0.500 0.862 Ga
0.500 0.000 0.138 Ga
0.500 0.500 0.500 Ga
0.000 0.000 0.000 Au
0.000 0.500 0.634 Au
0.500 0.000 0.366 Au
```

Output
total moment = 0.0 μB per formula unit
formation energy = -6.417 eV/f.u.
N(E_F) = 3.06 states/eV/cell



# 5
Material: Nd2AlGa3Au4
Method: DFT, PBE
State: relaxed

Geometry as POSCAR:
```
Nd2AlGa3Au4
1.0
4.428 0.000 0.000
0.000 4.428 0.000
0.000 0.000 10.561
Nd Al Ga Au
2 1 3 4
Direct
0.000 0.500 0.246 Nd
0.500 0.000 0.754 Nd
0.000 0.000 0.500 Al
0.000 0.500 0.866 Ga
0.500 0.000 0.134 Ga
0.500 0.500 0.500 Ga
0.000 0.000 0.000 Au
0.000 0.500 0.628 Au
0.500 0.000 0.372 Au
0.500 0.500 0.000 Au
```

Output
total moment = 0.0 μB per formula unit
formation energy = -6.760 eV/f.u.
N(E_F) = 4.62 states/eV/cell



# 6
Material: Nd2AlGaAu6
Method: DFT, PBE
State: relaxed

Geometry as POSCAR:
```
Nd2AlGaAu6
1.0
5.330 0.000 0.000
-1.100 5.564 0.000
-2.233 -1.558 7.220
Nd Al Ga Au
2 1 1 6
Direct
0.061 0.302 0.189 Nd
0.939 0.698 0.811 Nd
0.500 0.000 0.500 Al
0.500 0.500 0.000 Ga
0.023 0.182 0.674 Au
0.334 0.592 0.600 Au
0.445 0.919 0.155 Au
0.555 0.081 0.845 Au
0.666 0.408 0.400 Au
0.977 0.818 0.326 Au
```

Output
total moment = 0.0 μB per formula unit
formation energy = -5.286 eV/f.u.
N(E_F) = 5.25 states/eV/cell



# 7
Material: NpAlGaAu
Method: DFT, PBE
State: relaxed

Geometry as POSCAR:
```
NpAlGaAu
1.0
0.000 3.423 3.423
3.423 0.000 3.423
3.423 3.423 0.000
Np Al Ga Au
1 1 1 1
Direct
0.000 0.000 0.000 Np
0.500 0.500 0.500 Al
0.250 0.250 0.250 Ga
0.750 0.750 0.750 Au
```

Output
total moment = 4.1 μB per formula unit
formation energy = -0.626 eV/f.u.
N(E_F) = 7.21 states/eV/cell



# 8
Material: Np2Al4Ga3Au
Method: DFT, PBE
State: relaxed

Geometry as POSCAR:
```
Np2Al4Ga3Au
1.0
4.188 0.000 0.000
0.000 4.188 0.000
0.000 0.000 10.972
Np Al Ga Au
2 4 3 1
Direct
0.000 0.500 0.244 Np
0.500 0.000 0.756 Np
0.000 0.000 0.000 Al
0.000 0.500 0.636 Al
0.500 0.000 0.364 Al
0.500 0.500 0.000 Al
0.000 0.500 0.859 Ga
0.500 0.000 0.141 Ga
0.500 0.500 0.500 Ga
0.000 0.000 0.500 Au
```

Output
total moment = 9.0 μB per formula unit
formation energy = -1.687 eV/f.u.
N(E_F) = 15.10 states/eV/cell



# 9
Material: NpAl3GaAu
Method: DFT, PBE
State: relaxed

Geometry as POSCAR:
```
NpAl3GaAu
1.0
2.930 -8.228 0.000
2.930 8.228 0.000
0.000 0.000 5.728
Np Al Ga Au
2 6 2 2
Direct
0.163 0.837 0.750 Np
0.837 0.163 0.250 Np
0.238 0.238 0.000 Al
0.238 0.238 0.500 Al
0.256 0.744 0.250 Al
0.744 0.256 0.750 Al
0.762 0.762 0.000 Al
0.762 0.762 0.500 Al
0.104 0.896 0.250 Ga
0.896 0.104 0.750 Ga
0.408 0.592 0.250 Au
0.592 0.408 0.750 Au
```

Output
total moment = 4.4 μB per formula unit
formation energy = 0.457 eV/f.u.
N(E_F) = 25.16 states/eV/cell



# 10
Material: Np2Al3GaAu4
Method: DFT, PBE
State: relaxed

Geometry as POSCAR:
```
Np2Al3GaAu4
1.0
4.364 0.000 0.000
0.000 4.364 0.000
0.000 0.000 10.600
Np Al Ga Au
2 3 1 4
Direct
0.000 0.500 0.249 Np
0.500 0.000 0.751 Np
0.000 0.500 0.868 Al
0.500 0.000 0.132 Al
0.500 0.500 0.500 Al
0.000 0.000 0.500 Ga
0.000 0.000 0.000 Au
0.000 0.500 0.634 Au
0.500 0.000 0.366 Au
0.500 0.500 0.000 Au
```

Output
total moment = 8.6 μB per formula unit
formation energy = -3.021 eV/f.u.
N(E_F) = 22.70 states/eV/cell



# 11
Material: Np2AlGa3Au4
Method: DFT, PBE
State: relaxed

Geometry as POSCAR:
```
Np2AlGa3Au4
1.0
4.351 0.000 0.000
0.000 4.351 0.000
0.000 0.000 10.729
Np Al Ga Au
2 1 3 4
Direct
0.000 0.500 0.246 Np
0.500 0.000 0.754 Np
0.000 0.000 0.500 Al
0.000 0.500 0.864 Ga
0.500 0.000 0.136 Ga
0.500 0.500 0.500 Ga
0.000 0.000 0.000 Au
0.000 0.500 0.631 Au
0.500 0.000 0.369 Au
0.500 0.500 0.000 Au
```

Output
total moment = 8.7 μB per formula unit
formation energy = -2.528 eV/f.u.
N(E_F) = 22.67 states/eV/cell



# 12
Material: Pa2AlGa4Au3
Method: DFT, PBE
State: relaxed

Geometry as POSCAR:
```
Pa2AlGa4Au3
1.0
4.205 0.000 0.000
0.000 4.205 0.000
0.000 0.000 11.155
Pa Al Ga Au
2 1 4 3
Direct
0.000 0.500 0.245 Pa
0.500 0.000 0.755 Pa
0.500 0.500 0.000 Al
0.000 0.000 0.500 Ga
0.000 0.500 0.862 Ga
0.500 0.000 0.138 Ga
0.500 0.500 0.500 Ga
0.000 0.000 0.000 Au
0.000 0.500 0.640 Au
0.500 0.000 0.360 Au
```

Output
total moment = 1.8 μB per formula unit
formation energy = -3.408 eV/f.u.
N(E_F) = 12.36 states/eV/cell



# 13
Material: PaAlGaAu
Method: DFT, PBE
State: relaxed

Geometry as POSCAR:
```
PaAlGaAu
1.0
0.000 3.427 3.427
3.427 0.000 3.427
3.427 3.427 0.000
Pa Al Ga Au
1 1 1 1
Direct
0.000 0.000 0.000 Pa
0.500 0.500 0.500 Al
0.750 0.750 0.750 Ga
0.250 0.250 0.250 Au
```

Output
total moment = 0.0 μB per formula unit
formation energy = -1.213 eV/f.u.
N(E_F) = 1.56 states/eV/cell



# 14
Material: Pa2Al4GaAu3
Method: DFT, PBE
State: relaxed

Geometry as POSCAR:
```
Pa2Al4GaAu3
1.0
4.329 0.000 0.000
0.000 4.329 0.000
0.000 0.000 10.416
Pa Al Ga Au
2 4 1 3
Direct
0.000 0.500 0.245 Pa
0.500 0.000 0.755 Pa
0.000 0.000 0.500 Al
0.000 0.500 0.866 Al
0.500 0.000 0.134 Al
0.500 0.500 0.500 Al
0.500 0.500 0.000 Ga
0.000 0.000 0.000 Au
0.000 0.500 0.633 Au
0.500 0.000 0.367 Au
```

Output
total moment = 0.6 μB per formula unit
formation energy = -4.325 eV/f.u.
N(E_F) = 8.36 states/eV/cell



# 15
Material: Pa2Al3GaAu4
Method: DFT, PBE
State: relaxed

Geometry as POSCAR:
```
Pa2Al3GaAu4
1.0
4.361 0.000 0.000
0.000 4.361 0.000
0.000 0.000 10.372
Pa Al Ga Au
2 3 1 4
Direct
0.000 0.500 0.249 Pa
0.500 0.000 0.751 Pa
0.000 0.500 0.869 Al
0.500 0.000 0.131 Al
0.500 0.500 0.500 Al
0.000 0.000 0.500 Ga
0.000 0.000 0.000 Au
0.000 0.500 0.634 Au
0.500 0.000 0.366 Au
0.500 0.500 0.000 Au
```

Output
total moment = 0.0 μB per formula unit
formation energy = -4.466 eV/f.u.
N(E_F) = 5.86 states/eV/cell



# 16
Material: Al2GaPbAu
Method: DFT, PBE
State: relaxed

Geometry as POSCAR:
```
Al2GaPbAu
1.0
5.351 0.000 0.000
0.000 5.351 0.000
0.000 0.000 5.558
Al Ga Pb Au
2 1 1 1
Direct
0.000 0.500 0.000 Al
0.500 0.000 0.000 Al
0.000 0.000 0.500 Ga
0.000 0.000 0.000 Pb
0.500 0.500 0.500 Au
```

Output
total moment = 0.0 μB per formula unit
formation energy = 4.750 eV/f.u.
N(E_F) = 2.93 states/eV/cell



# 17
Material: AlGaPb2Au6
Method: DFT, PBE
State: relaxed

Geometry as POSCAR:
```
AlGaPb2Au6
1.0
4.450 0.000 0.000
-2.207 6.729 0.000
-2.192 -0.847 6.965
Al Ga Pb Au
1 1 2 6
Direct
0.000 0.000 0.000 Al
0.000 0.500 0.500 Ga
0.382 0.129 0.640 Pb
0.618 0.871 0.360 Pb
0.104 0.351 0.860 Au
0.345 0.391 0.299 Au
0.349 0.795 0.902 Au
0.651 0.205 0.098 Au
0.655 0.609 0.701 Au
0.896 0.649 0.140 Au
```

Output
total moment = 0.0 μB per formula unit
formation energy = -1.287 eV/f.u.
N(E_F) = 3.56 states/eV/cell



# 18
Material: AlGaPbAu2
Method: DFT, PBE
State: relaxed

Geometry as POSCAR:
```
AlGaPbAu2
1.0
5.409 0.000 0.000
0.000 5.409 0.000
0.000 0.000 5.405
Al Ga Pb Au
1 1 1 2
Direct
0.000 0.000 0.000 Al
0.500 0.500 0.000 Ga
0.500 0.500 0.500 Pb
0.000 0.500 0.500 Au
0.500 0.000 0.500 Au
```

Output
total moment = 0.0 μB per formula unit
formation energy = 3.545 eV/f.u.
N(E_F) = 2.55 states/eV/cell



# 19
Material: AlGaPd2Au
Method: DFT, PBE
State: relaxed

Geometry as POSCAR:
```
AlGaPd2Au
1.0
4.579 0.000 0.000
0.000 4.579 0.000
0.000 0.000 4.726
Al Ga Pd Au
1 1 2 1
Direct
0.000 0.000 0.000 Al
0.000 0.000 0.500 Ga
0.000 0.500 0.000 Pd
0.500 0.000 0.000 Pd
0.500 0.500 0.500 Au
```

Output
total moment = 0.0 μB per formula unit
formation energy = 1.503 eV/f.u.
N(E_F) = 2.30 states/eV/cell



# 20
Material: Al2GaPd5Au2
Method: DFT, PBE
State: relaxed

Geometry as POSCAR:
```
Al2GaPd5Au2
1.0
9.224 0.000 0.000
0.000 9.224 0.000
0.000 0.000 3.754
Al Ga Pd Au
4 2 10 4
Direct
0.130 0.370 0.000 Al
0.370 0.870 0.000 Al
0.630 0.130 0.000 Al
0.870 0.630 0.000 Al
0.000 0.000 0.000 Ga
0.500 0.500 0.000 Ga
0.000 0.500 0.500 Pd
0.085 0.192 0.500 Pd
0.192 0.915 0.500 Pd
0.308 0.415 0.500 Pd
0.415 0.692 0.500 Pd
0.500 0.000 0.500 Pd
0.585 0.308 0.500 Pd
0.692 0.585 0.500 Pd
0.808 0.085 0.500 Pd
0.915 0.808 0.500 Pd
0.167 0.667 0.000 Au
0.333 0.167 0.000 Au
0.667 0.833 0.000 Au
0.833 0.333 0.000 Au
```

Output
total moment = 0.0 μB per formula unit
formation energy = -5.253 eV/f.u.
N(E_F) = 5.54 states/eV/cell